VASP calculation (PBEsol) on a relaxed structure of Li2RhW.

Geometry as POSCAR:
```
Li2RhW
1.0
-1.570 3.096 -0.687
-3.145 -1.420 0.785
2.890 0.403 4.328
Li Rh W
2 1 1
direct
0.750 0.250 0.500
0.250 0.750 0.500
0.500 0.500 0.000
0.000 0.000 0.000
```

Computed properties:
Magnetization: 0.000 Bohr magnetons per cell
Excess energy over the best structure of this formula in the dataset: 133.6 meV per atom
DOS(E_F): 0.60 states/eV per atom
Space-group type: I4/mmm

=====

VASP calculation (PBEsol) on a relaxed structure of Li3RhW.

Geometry as POSCAR:
```
Li3RhW
1.0
-0.262 -3.464 -2.245
2.532 1.642 -2.829
3.260 -1.554 2.017
Rh W Li
1 1 3
direct
0.000 0.000 0.000
0.500 0.500 0.500
0.000 0.500 0.000
0.000 0.000 0.500
0.500 0.000 0.000
```

Computed properties:
Magnetization: 0.001 Bohr magnetons per cell
Excess energy over the best structure of this formula in the dataset: 0.0 meV per atom
DOS(E_F): 0.79 states/eV per atom
Space-group type: Pm-3m